# 1
{
  "formula": "Tc2MoRh",
  "functional": "PBE",
  "state": "optimized geometry",
  "lattice_angstrom": [[1.372, 0.792, 9.098], [-1.372, 0.792, 9.098], [0.000, -1.584, 9.098]],
  "species": ["Tc", "Tc", "Mo", "Rh"],
  "fractional_positions": [[0.248, 0.248, 0.248], [0.752, 0.752, 0.752], [0.000, 0.000, 0.000], [0.500, 0.500, 0.500]],
  "e_tot_ev_per_atom": -9.641,
  "delta_e_f_ev_per_atom": 0.087,
  "magmom_total_mub_per_fu": 0.00,
  "de_polymorph_mev_per_atom": 153
}

***

# 2
{
  "formula": "ReRu2Cl",
  "functional": "PBE",
  "state": "optimized geometry",
  "lattice_angstrom": [[2.819, 0.000, 0.000], [0.000, 4.494, 0.000], [0.000, 0.000, 4.629]],
  "species": ["Re", "Ru", "Ru", "Cl"],
  "fractional_positions": [[0.000, 0.000, 0.000], [0.000, 0.500, 0.500], [0.500, 0.500, 0.000], [0.500, 0.000, 0.500]],
  "e_tot_ev_per_atom": -7.238,
  "e_form_raw_ev_per_atom": 0.974,
  "magmom_total_mub_per_fu": 0.00,
  "de_polymorph_mev_per_atom": 673
}